one) Computed, not measured: crystalline FeSiMoAu at its relaxed geometry at the PBE level of DFT.

CIF file:
```
data_FeSiMoAu
_chemical_formula_sum 'Fe4 Si4 Mo4 Au4'
_cell_length_a 6.137
_cell_length_b 6.137
_cell_length_c 6.137
_cell_angle_alpha 90.00
_cell_angle_beta 90.00
_cell_angle_gamma 90.00
_space_group_name_H-M_alt 'F -4 3 m'
_space_group_IT_number 216
_space_group_name_Hall 'F -4 2 3'
loop_
_atom_site_label
_atom_site_fract_x
_atom_site_fract_y
_atom_site_fract_z
Fe1 0.000 0.000 0.000
Si1 0.250 0.250 0.750
Mo1 0.250 0.250 0.250
Au1 0.000 0.000 0.500
```

Output
- spin magnetization (μB/atom) = 0.245
- crystal system = cubic


two) Computed, not measured: crystalline FeSiMoAu at its relaxed geometry at the PBE level of DFT.

CIF file:
```
data_FeSiMoAu
_chemical_formula_sum 'Fe4 Si4 Mo4 Au4'
_cell_length_a 6.146
_cell_length_b 6.146
_cell_length_c 6.146
_cell_angle_alpha 90.00
_cell_angle_beta 90.00
_cell_angle_gamma 90.00
_space_group_name_H-M_alt 'F -4 3 m'
_space_group_IT_number 216
_space_group_name_Hall 'F -4 2 3'
loop_
_atom_site_label
_atom_site_fract_x
_atom_site_fract_y
_atom_site_fract_z
Fe1 0.000 0.000 0.000
Si1 0.250 0.250 0.750
Mo1 0.000 0.000 0.500
Au1 0.250 0.250 0.250
```

Output
- spin magnetization (μB/atom) = 0.425
- crystal system = cubic


Relative to the most stable one, in eV/atom, the structures come out at one) 0.208; two) 0.000.


one) Computed, not measured: crystalline ZnFeMoAu at its relaxed geometry at the PBE level of DFT.

CIF file:
```
data_ZnFeMoAu
_chemical_formula_sum 'Zn4 Fe4 Mo4 Au4'
_cell_length_a 6.232
_cell_length_b 6.232
_cell_length_c 6.232
_cell_angle_alpha 90.00
_cell_angle_beta 90.00
_cell_angle_gamma 90.00
_space_group_name_H-M_alt 'F -4 3 m'
_space_group_IT_number 216
_space_group_name_Hall 'F -4 2 3'
loop_
_atom_site_label
_atom_site_fract_x
_atom_site_fract_y
_atom_site_fract_z
Zn1 0.000 0.000 0.000
Fe1 0.250 0.250 0.250
Mo1 0.250 0.250 0.750
Au1 0.000 0.000 0.500
```

Output
- spin magnetization (μB/atom) = 0.360
- crystal system = cubic


two) Computed, not measured: crystalline ZnFeMoAu at its relaxed geometry at the PBE level of DFT.

CIF file:
```
data_ZnFeMoAu
_chemical_formula_sum 'Zn4 Fe4 Mo4 Au4'
_cell_length_a 6.234
_cell_length_b 6.234
_cell_length_c 6.234
_cell_angle_alpha 90.00
_cell_angle_beta 90.00
_cell_angle_gamma 90.00
_space_group_name_H-M_alt 'F -4 3 m'
_space_group_IT_number 216
_space_group_name_Hall 'F -4 2 3'
loop_
_atom_site_label
_atom_site_fract_x
_atom_site_fract_y
_atom_site_fract_z
Zn1 0.000 0.000 0.000
Fe1 0.250 0.250 0.250
Mo1 0.000 0.000 0.500
Au1 0.250 0.250 0.750
```

Output
- spin magnetization (μB/atom) = 0.341
- crystal system = cubic


Relative to the most stable one, in eV/atom, the structures come out at one) 0.064; two) 0.000.


one) Computed, not measured: crystalline NbFeSbAu at its relaxed geometry at the PBE level of DFT.

CIF file:
```
data_NbFeSbAu
_chemical_formula_sum 'Nb4 Fe4 Sb4 Au4'
_cell_length_a 6.540
_cell_length_b 6.540
_cell_length_c 6.540
_cell_angle_alpha 90.00
_cell_angle_beta 90.00
_cell_angle_gamma 90.00
_space_group_name_H-M_alt 'F -4 3 m'
_space_group_IT_number 216
_space_group_name_Hall 'F -4 2 3'
loop_
_atom_site_label
_atom_site_fract_x
_atom_site_fract_y
_atom_site_fract_z
Nb1 0.000 0.000 0.000
Fe1 0.000 0.000 0.500
Sb1 0.250 0.250 0.250
Au1 0.250 0.250 0.750
```

Output
- spin magnetization (μB/atom) = 0.429
- crystal system = cubic


two) Computed, not measured: crystalline NbFeSbAu at its relaxed geometry at the PBE level of DFT.

CIF file:
```
data_NbFeSbAu
_chemical_formula_sum 'Nb4 Fe4 Sb4 Au4'
_cell_length_a 6.529
_cell_length_b 6.529
_cell_length_c 6.529
_cell_angle_alpha 90.00
_cell_angle_beta 90.00
_cell_angle_gamma 90.00
_space_group_name_H-M_alt 'F -4 3 m'
_space_group_IT_number 216
_space_group_name_Hall 'F -4 2 3'
loop_
_atom_site_label
_atom_site_fract_x
_atom_site_fract_y
_atom_site_fract_z
Nb1 0.000 0.000 0.000
Fe1 0.250 0.250 0.750
Sb1 0.000 0.000 0.500
Au1 0.250 0.250 0.250
```

Output
- spin magnetization (μB/atom) = 0.219
- crystal system = cubic


Relative to the most stable one, in eV/atom, the structures come out at one) 0.000; two) 0.152.


one) Computed, not measured: crystalline FePbWAu at its relaxed geometry at the PBE level of DFT.

CIF file:
```
data_FePbWAu
_chemical_formula_sum 'Fe4 Pb4 W4 Au4'
_cell_length_a 6.555
_cell_length_b 6.555
_cell_length_c 6.555
_cell_angle_alpha 90.00
_cell_angle_beta 90.00
_cell_angle_gamma 90.00
_space_group_name_H-M_alt 'F -4 3 m'
_space_group_IT_number 216
_space_group_name_Hall 'F -4 2 3'
loop_
_atom_site_label
_atom_site_fract_x
_atom_site_fract_y
_atom_site_fract_z
Fe1 0.000 0.000 0.000
Pb1 0.250 0.250 0.750
W1 0.000 0.000 0.500
Au1 0.250 0.250 0.250
```

Output
- spin magnetization (μB/atom) = 0.396
- crystal system = cubic


two) Computed, not measured: crystalline FePbWAu at its relaxed geometry at the PBE level of DFT.

CIF file:
```
data_FePbWAu
_chemical_formula_sum 'Fe4 Pb4 W4 Au4'
_cell_length_a 6.524
_cell_length_b 6.524
_cell_length_c 6.524
_cell_angle_alpha 90.00
_cell_angle_beta 90.00
_cell_angle_gamma 90.00
_space_group_name_H-M_alt 'F -4 3 m'
_space_group_IT_number 216
_space_group_name_Hall 'F -4 2 3'
loop_
_atom_site_label
_atom_site_fract_x
_atom_site_fract_y
_atom_site_fract_z
Fe1 0.000 0.000 0.000
Pb1 0.250 0.250 0.750
W1 0.250 0.250 0.250
Au1 0.000 0.000 0.500
```

Output
- spin magnetization (μB/atom) = 0.661
- crystal system = cubic


Relative to the most stable one, in eV/atom, the structures come out at one) 0.000; two) 0.107.


one) Computed, not measured: crystalline YFePbAu at its relaxed geometry at the PBE level of DFT.

CIF file:
```
data_YFePbAu
_chemical_formula_sum 'Y4 Fe4 Pb4 Au4'
_cell_length_a 6.897
_cell_length_b 6.897
_cell_length_c 6.897
_cell_angle_alpha 90.00
_cell_angle_beta 90.00
_cell_angle_gamma 90.00
_space_group_name_H-M_alt 'F -4 3 m'
_space_group_IT_number 216
_space_group_name_Hall 'F -4 2 3'
loop_
_atom_site_label
_atom_site_fract_x
_atom_site_fract_y
_atom_site_fract_z
Y1 0.000 0.000 0.000
Fe1 0.000 0.000 0.500
Pb1 0.250 0.250 0.250
Au1 0.250 0.250 0.750
```

Output
- spin magnetization (μB/atom) = 0.662
- crystal system = cubic


two) Computed, not measured: crystalline YFePbAu at its relaxed geometry at the PBE level of DFT.

CIF file:
```
data_YFePbAu
_chemical_formula_sum 'Y4 Fe4 Pb4 Au4'
_cell_length_a 6.956
_cell_length_b 6.956
_cell_length_c 6.956
_cell_angle_alpha 90.00
_cell_angle_beta 90.00
_cell_angle_gamma 90.00
_space_group_name_H-M_alt 'F -4 3 m'
_space_group_IT_number 216
_space_group_name_Hall 'F -4 2 3'
loop_
_atom_site_label
_atom_site_fract_x
_atom_site_fract_y
_atom_site_fract_z
Y1 0.000 0.000 0.000
Fe1 0.250 0.250 0.750
Pb1 0.000 0.000 0.500
Au1 0.250 0.250 0.250
```

Output
- spin magnetization (μB/atom) = 0.578
- crystal system = cubic


Relative to the most stable one, in eV/atom, the structures come out at one) 0.000; two) 0.020.


one) Computed, not measured: crystalline ZrFePbAu at its relaxed geometry at the PBE level of DFT.

CIF file:
```
data_ZrFePbAu
_chemical_formula_sum 'Zr4 Fe4 Pb4 Au4'
_cell_length_a 6.772
_cell_length_b 6.772
_cell_length_c 6.772
_cell_angle_alpha 90.00
_cell_angle_beta 90.00
_cell_angle_gamma 90.00
_space_group_name_H-M_alt 'F -4 3 m'
_space_group_IT_number 216
_space_group_name_Hall 'F -4 2 3'
loop_
_atom_site_label
_atom_site_fract_x
_atom_site_fract_y
_atom_site_fract_z
Zr1 0.000 0.000 0.000
Fe1 0.250 0.250 0.750
Pb1 0.000 0.000 0.500
Au1 0.250 0.250 0.250
```

Output
- spin magnetization (μB/atom) = 0.467
- crystal system = cubic


two) Computed, not measured: crystalline ZrFePbAu at its relaxed geometry at the PBE level of DFT.

CIF file:
```
data_ZrFePbAu
_chemical_formula_sum 'Zr4 Fe4 Pb4 Au4'
_cell_length_a 6.686
_cell_length_b 6.686
_cell_length_c 6.686
_cell_angle_alpha 90.00
_cell_angle_beta 90.00
_cell_angle_gamma 90.00
_space_group_name_H-M_alt 'F -4 3 m'
_space_group_IT_number 216
_space_group_name_Hall 'F -4 2 3'
loop_
_atom_site_label
_atom_site_fract_x
_atom_site_fract_y
_atom_site_fract_z
Zr1 0.000 0.000 0.000
Fe1 0.000 0.000 0.500
Pb1 0.250 0.250 0.250
Au1 0.250 0.250 0.750
```

Output
- spin magnetization (μB/atom) = 0.552
- crystal system = cubic


Relative to the most stable one, in eV/atom, the structures come out at one) 0.000; two) 0.012.


one) Computed, not measured: crystalline PmFeAu at its relaxed geometry at the PBE level of DFT.

CIF file:
```
data_PmFeAu
_chemical_formula_sum 'Pm4 Fe4 Au4'
_cell_length_a 6.762
_cell_length_b 6.762
_cell_length_c 6.762
_cell_angle_alpha 90.00
_cell_angle_beta 90.00
_cell_angle_gamma 90.00
_space_group_name_H-M_alt 'F -4 3 m'
_space_group_IT_number 216
_space_group_name_Hall 'F -4 2 3'
loop_
_atom_site_label
_atom_site_fract_x
_atom_site_fract_y
_atom_site_fract_z
Pm1 0.000 0.000 0.000
Fe1 0.250 0.250 0.250
Au1 0.250 0.250 0.750
```

Output
- spin magnetization (μB/atom) = 0.781
- crystal system = cubic


two) Computed, not measured: crystalline PmFeAu at its relaxed geometry at the PBE level of DFT.

CIF file:
```
data_PmFeAu
_chemical_formula_sum 'Pm4 Fe4 Au4'
_cell_length_a 6.429
_cell_length_b 6.429
_cell_length_c 6.429
_cell_angle_alpha 90.00
_cell_angle_beta 90.00
_cell_angle_gamma 90.00
_space_group_name_H-M_alt 'F -4 3 m'
_space_group_IT_number 216
_space_group_name_Hall 'F -4 2 3'
loop_
_atom_site_label
_atom_site_fract_x
_atom_site_fract_y
_atom_site_fract_z
Pm1 0.000 0.000 0.000
Fe1 0.250 0.250 0.750
Au1 0.000 0.000 0.500
```

Output
- spin magnetization (μB/atom) = 0.673
- crystal system = cubic


Relative to the most stable one, in eV/atom, the structures come out at one) 0.424; two) 0.000.